No. 1
First-principles (PBE-GGA) data for a relaxed TaNi2Ir crystal, as listed in Alexandria via LeMat-Bulk.

```
8
Lattice="3.6703 0.0000 0.0000 0.0000 3.6703 0.0000 1.8352 1.8352 8.8478" Properties=species:S:1:pos:R:3 pbc="T T T"
Ni 0.8589 2.7527 2.2120
Ni 4.5879 4.6466 6.6359
Ni 2.7527 2.6941 6.6359
Ni 2.8114 0.9176 2.2120
Ir 0.0000 0.0000 0.0000
Ir 3.6703 1.8352 4.4239
Ta 1.8352 1.8352 0.0000
Ta 1.8352 3.6703 4.4239
```

Properties
SG: I-42d

No. 2
First-principles (PBE-GGA) data for a relaxed Ta11Ni4Ir9 crystal, as listed in Alexandria via LeMat-Bulk.

```
24
Lattice="-0.8096 0.3333 2.8322 -4.4985 -10.9890 0.0072 11.3947 1.2039 3.1155" Properties=species:S:1:pos:R:3 pbc="T T T"
Ta -1.7436 -8.8755 0.5460
Ta 0.0000 0.0000 0.0000
Ta 4.8897 -6.9380 2.2141
Ta 1.4159 -6.4516 1.1639
Ta 5.4802 -3.3335 1.9588
Ta 4.2993 -0.0255 1.2319
Ta 8.1546 -5.4959 2.9777
Ta -1.2584 -4.2892 0.1450
Ta 2.0065 -2.8471 0.9086
Ta 8.6398 -0.9096 2.5767
Ta 2.5969 -9.7596 1.8907
Ni 5.6621 -5.0996 3.7700
Ni 2.6044 -7.4454 3.1720
Ni 0.4245 -4.3522 2.1849
Ni 3.4822 -2.0064 2.7829
Ir 1.6805 -0.1960 2.0548
Ir 6.7813 -7.4336 4.3645
Ir -0.6947 -2.0183 1.5903
Ir 5.8527 -0.8512 3.3245
Ir -1.3392 -6.3686 1.9180
Ir 4.4061 -9.2558 3.9000
Ir 0.2339 -8.6007 2.6303
Ir 3.0433 -4.7259 2.9774
Ir 7.4258 -3.0832 4.0368
```

Properties
SG: Cmmm

No. 3
First-principles (PBE-GGA) data for a relaxed Ta2NiIr crystal, as listed in Alexandria via LeMat-Bulk.

```
4
Lattice="4.5362 0.0000 0.0000 0.0000 2.8276 0.0023 0.0000 0.4854 4.8495" Properties=species:S:1:pos:R:3 pbc="T T T"
Ir 0.0000 2.0239 2.1915
Ta 0.0000 0.5673 4.5189
Ta 2.2681 0.7534 1.5170
Ni 2.2681 2.1104 3.8998
```

Properties
SG: Pm

No. 4
First-principles (PBE-GGA) data for a relaxed TaNi3Ir crystal, as listed in Alexandria via LeMat-Bulk.

```
5
Lattice="4.4203 0.0000 0.0000 0.0000 4.4203 0.0000 0.0000 0.0000 4.4203" Properties=species:S:1:pos:R:3 pbc="T T T"
Ni 0.0000 2.2102 0.0000
Ni 2.2102 0.0000 0.0000
Ni 0.0000 0.0000 2.2102
Ta 2.2102 2.2102 2.2102
Ir 0.0000 0.0000 0.0000
```

Properties
SG: Pm-3m
Energy relative to the lowest polymorph listed for this composition, meV per atom: 1601.9

No. 5
First-principles (PBE-GGA) data for a relaxed Ta2Ni3Ir crystal, as listed in Alexandria via LeMat-Bulk.

```
12
Lattice="-0.6577 -3.3330 1.7749 5.5413 2.1301 1.9147 -6.8371 3.2679 3.6032" Properties=species:S:1:pos:R:3 pbc="T T T"
Ta -3.6172 2.9641 4.2258
Ta -5.8471 1.0986 4.0352
Ta 3.8937 0.9663 3.2576
Ta 1.6638 -0.8991 3.0669
Ni -1.1672 2.2326 3.7601
Ni -3.2558 0.4472 3.7721
Ni 0.2511 0.7700 5.6778
Ni -2.2046 1.2950 1.6149
Ni 1.3023 1.6178 3.5206
Ni -0.7862 -0.1676 3.5326
Ir 0.3718 0.5900 1.2457
Ir -2.3252 1.4750 6.0470
```

Properties
SG: C2/m

No. 6
First-principles (PBE-GGA) data for a relaxed TaNi2Ir crystal, as listed in Alexandria via LeMat-Bulk.

```
4
Lattice="6.0333 0.0339 0.0975 -2.3447 3.7366 0.0020 1.3440 0.8419 2.4201" Properties=species:S:1:pos:R:3 pbc="T T T"
Ta -0.5004 2.2893 1.2111
Ir 1.8443 1.8852 0.0497
Ni 3.6886 0.4379 1.2588
Ni 0.0000 0.0000 0.0000
```

Properties
SG: Cmmm

No. 7
First-principles (PBE-GGA) data for a relaxed Ta2NiIr crystal, as listed in Alexandria via LeMat-Bulk.

```
4
Lattice="-0.8724 -1.7194 2.0981 2.0522 -1.8602 -0.6691 4.7060 3.4663 4.7972" Properties=species:S:1:pos:R:3 pbc="T T T"
Ni 4.1194 0.8100 4.3124
Ir 1.7664 -0.9232 1.9138
Ta 2.3904 1.7607 2.4367
Ta 4.6686 3.4388 4.7590
```

Properties
SG: P4/mmm

No. 8
First-principles (PBE-GGA) data for a relaxed TaNi2Ir crystal, as listed in Alexandria via LeMat-Bulk.

```
4
Lattice="-0.6917 -1.6677 3.0517 1.1940 -2.4093 -1.0461 5.9519 -0.8703 0.8734" Properties=species:S:1:pos:R:3 pbc="T T T"
Ni 1.2892 -2.3783 -1.0075
Ni 1.3582 -1.6803 1.4495
Ta 3.5288 -1.6532 -0.1036
Ir 5.0450 -3.2848 1.4083
```

Properties
SG: Pm

In eV/atom, the uncorrected energy values for the records above are, in order, -7.98 -10.21 -9.97 -6.23 -8.58 -8.29 -9.93 -8.38.
In eV per formula unit, the formation energy from the elements values for the records above are, in order, 0.3 -11.7 -1.5 6.9 -1.6 -0.9 -1.4 -1.2.